Record 1
Entry from the Alexandria database: a relaxed Rb3Tm2TiTe6 crystal (GGA-PBE).

The structure in CIF format:
```
data_Rb3Tm2TiTe6
_chemical_formula_sum 'Rb6 Tm4 Ti2 Te12'
_cell_length_a 7.6164
_cell_length_b 13.1905
_cell_length_c 8.8823
_cell_angle_alpha 90.00
_cell_angle_beta 106.66
_cell_angle_gamma 90.00
_space_group_name_H-M_alt 'C 1 2/m 1'
_space_group_IT_number 12
_space_group_name_Hall '-C 2y'
loop_
_atom_site_label
_atom_site_fract_x
_atom_site_fract_y
_atom_site_fract_z
Rb1 0.0000 0.0000 0.0000
Rb2 0.0000 0.3284 0.0000
Tm1 0.0000 0.1660 0.5000
Ti1 0.0000 0.5000 0.5000
Te1 0.2223 0.3412 0.6912
Te2 0.2473 0.0000 0.6931
```


Record 2
Entry from the Alexandria database: a relaxed Rb3U3TiTe8 crystal (GGA-PBE).

The structure in CIF format:
```
data_Rb3U3TiTe8
_chemical_formula_sum 'Rb3 U3 Ti1 Te8'
_cell_length_a 8.7029
_cell_length_b 8.8057
_cell_length_c 10.1594
_cell_angle_alpha 64.89
_cell_angle_beta 64.67
_cell_angle_gamma 60.46
_space_group_name_H-M_alt 'P -1'
_space_group_IT_number 2
_space_group_name_Hall '-P 1'
loop_
_atom_site_label
_atom_site_fract_x
_atom_site_fract_y
_atom_site_fract_z
Rb1 0.0000 0.0000 0.0000
Rb2 0.0000 0.5000 0.0000
Rb3 0.5000 0.0000 0.0000
U1 0.0000 0.5000 0.5000
U2 0.5000 0.0000 0.5000
U3 0.5000 0.5000 0.5000
Ti1 0.0000 0.0000 0.5000
Te1 0.2200 0.7498 0.3099
Te2 0.2215 0.2207 0.3093
Te3 0.2512 0.7795 0.6912
Te4 0.2644 0.2649 0.7057
```


no.,formation energy without anion corrections (eV/atom)
1,-1.151
2,-0.781